No. 1
CrReCl2 after structural relaxation, computed with PBE.

Unit cell a=2.9358 b=2.9358 c=30.5862 alpha=90.00 beta=90.00 gamma=120.00
Closest atoms and distances in Å follow each position.
Space group R-3m (No. 166, hexagonal axes)
Asymmetric unit:
Cr (0.0000, 0.0000, 0.0000) (multiplicity 3)  6 Cl 2.34
Re (0.0000, 0.0000, 0.5000) (multiplicity 3)  6 Re 2.94
Cl (0.0000, 0.0000, 0.2808) (multiplicity 6)  3 Cr 2.34

Output
DFT total energy ... -5.79 eV/atom
Uncorrected formation energy ... 250 kJ/mol of formula units
Excess energy over the best structure of this formula in the dataset ... 0.776 eV/atom

=====

No. 2
CrReCl after structural relaxation, computed with PBE.

Unit cell a=2.9798 b=2.9798 c=6.1900 alpha=90.00 beta=90.00 gamma=120.00
Closest atoms and distances in Å follow each position.
Space group P3m1 (No. 156)
Asymmetric unit:
Cr (0.0000, 0.0000, 0.0000) (multiplicity 1)  3 Re 2.44, 3 Cl 2.48
Re (0.6667, 0.3333, 0.2788) (multiplicity 1)  3 Cr 2.44
Cl (0.3333, 0.6667, 0.7111) (multiplicity 1)  3 Cr 2.48

Output
DFT total energy ... -7.65 eV/atom
Uncorrected formation energy ... 93 kJ/mol of formula units
Excess energy over the best structure of this formula in the dataset ... 0.398 eV/atom

=====

No. 3
CrReCl2 after structural relaxation, computed with PBE.

Unit cell a=5.2014 b=5.2014 c=10.2748 alpha=90.00 beta=90.00 gamma=90.00
Closest atoms and distances in Å follow each position.
Space group I-42d (No. 122)
Asymmetric unit:
Cr (0.0000, 0.0000, 0.0000) (multiplicity 4)  4 Cl 2.19
Re (0.0000, 0.0000, 0.5000) (multiplicity 4)  4 Cl 2.30
Cl (0.2320, 0.2500, 0.1250) (multiplicity 8)  2 Cr 2.19, 2 Re 2.30

Output
DFT total energy ... -5.34 eV/atom
Uncorrected formation energy ... 425 kJ/mol of formula units
Excess energy over the best structure of this formula in the dataset ... 1.230 eV/atom

=====

No. 4
CrReCl after structural relaxation, computed with PBE.

Unit cell a=2.9535 b=4.1790 c=9.5031 alpha=94.69 beta=90.44 gamma=90.14
Closest atoms and distances in Å follow each position.
Space group P1 (No. 1)
Asymmetric unit:
Cr (0.0000, 0.0000, 0.0000) (multiplicity 1)  2 Cr 2.30-2.33, 2 Cl 2.42-2.43, 2 Re 2.52-2.55
Cr (0.4936, 0.4138, 0.9657) (multiplicity 1)  2 Cr 2.30-2.33, 1 Cl 2.35
Re (0.4866, 0.8487, 0.7877) (multiplicity 1)  4 Cr 2.52-2.79, 4 Re 2.61-2.68
Re (0.9883, 0.3268, 0.7172) (multiplicity 1)  1 Cl 2.26
Cl (0.4994, 0.7744, 0.1682) (multiplicity 1)  3 Cr 2.35-2.43
Cl (0.9812, 0.3301, 0.4796) (multiplicity 1)  1 Re 2.26

Output
DFT total energy ... -7.90 eV/atom
Uncorrected formation energy ... 22 kJ/mol of formula units
Excess energy over the best structure of this formula in the dataset ... 0.155 eV/atom